Entry 1:
Here is BiPt2C after structural relaxation from the Alexandria database. Energies are from PBE.

ΔE to the lowest computed polymorph = 0 meV/atom
ΔE_f = 373 meV/atom

Unit cell a=6.9639 b=6.9639 c=6.9639 alpha=136.71 beta=136.71 gamma=62.89
Last column: nearest neighbours and their distance in Å.
Fractional coordinates of all 8 atoms:
Bi 0.0000 0.0000 0.0000  4 Pt 2.79
Bi 0.7500 0.2500 0.5000  4 Pt 2.79
Pt 0.2616 0.6250 0.1366  2 C 2.05
Pt 0.3750 0.5116 0.6366  2 C 2.05
Pt 0.4884 0.1250 0.8634  2 C 2.05
Pt 0.8750 0.7384 0.3634  2 C 2.05
C 0.2500 0.7500 0.5000  4 Pt 2.05
C 0.5000 0.5000 0.0000  4 Pt 2.05

***

Entry 2:
Here is BiPtC3 after structural relaxation from the Alexandria database. Energies are from PBE.

ΔE to the lowest computed polymorph = 0 meV/atom
ΔE_f = 2303 meV/atom

Unit cell a=4.1316 b=4.1316 c=4.1316 alpha=90.00 beta=90.00 gamma=90.00
Last column: nearest neighbours and their distance in Å.
Fractional coordinates of all 5 atoms:
Bi 0.0000 0.0000 0.0000  12 C 2.92
Pt 0.5000 0.5000 0.5000  6 C 2.07
C 0.0000 0.5000 0.5000  2 Pt 2.07
C 0.5000 0.0000 0.5000  2 Pt 2.07
C 0.5000 0.5000 0.0000  2 Pt 2.07

***

Entry 3:
Here is BiPtC2 after structural relaxation from the Alexandria database. Energies are from PBE.

ΔE_f = 1296 meV/atom

Unit cell a=6.2934 b=6.2934 c=6.2934 alpha=131.95 beta=131.95 gamma=70.31
Last column: nearest neighbours and their distance in Å.
Fractional coordinates of all 8 atoms:
Bi 0.0000 0.0000 0.0000  4 C 2.43
Bi 0.7500 0.2500 0.5000  4 C 2.43
Pt 0.2500 0.7500 0.5000  4 C 2.05
Pt 0.5000 0.5000 0.0000  4 C 2.05
C 0.1912 0.6250 0.0662  2 Pt 2.05
C 0.3750 0.4412 0.5662  2 Pt 2.05
C 0.5588 0.1250 0.9338  2 Pt 2.05
C 0.8750 0.8088 0.4338  2 Pt 2.05

***

Entry 4:
Here is TcBi2PtC after structural relaxation from the Alexandria database. Energies are from PBE.

ΔE_f = 2218 meV/atom

Unit cell a=5.3235 b=5.3235 c=5.1305 alpha=90.00 beta=90.00 gamma=90.00
Last column: nearest neighbours and their distance in Å.
Fractional coordinates of all 5 atoms:
Tc 0.0000 0.0000 0.0000  2 Pt 2.57
Bi 0.0000 0.5000 0.5000  2 Pt 2.66
Bi 0.5000 0.0000 0.5000  2 Pt 2.66
Pt 0.0000 0.0000 0.5000  2 Tc 2.57, 4 Bi 2.66
C 0.5000 0.5000 0.0000  8 Bi 3.70, 4 Tc 3.76

***

Entry 5:
Here is Pu5Bi3C after structural relaxation from the Alexandria database. Energies are from PBE.

ΔE_f = -300 meV/atom

Unit cell a=9.4322 b=9.4322 c=6.2396 alpha=90.00 beta=90.00 gamma=120.00
Last column: nearest neighbours and their distance in Å.
Fractional coordinates of all 18 atoms:
Pu 0.0000 0.2056 0.2500  2 C 2.49
Pu 0.0000 0.7944 0.7500  2 C 2.49
Pu 0.2056 0.0000 0.2500  2 C 2.49
Pu 0.2056 0.2056 0.7500  2 C 2.49
Pu 0.3333 0.6667 0.0000  2 Pu 3.12, 6 Bi 3.29
Pu 0.3333 0.6667 0.5000  2 Pu 3.12, 6 Bi 3.29
Pu 0.6667 0.3333 0.0000  2 Pu 3.12, 6 Bi 3.29
Pu 0.6667 0.3333 0.5000  2 Pu 3.12, 6 Bi 3.29
Pu 0.7944 0.0000 0.7500  2 C 2.49
Pu 0.7944 0.7944 0.2500  2 C 2.49
Bi 0.0000 0.3958 0.7500  8 Pu 3.23-3.60
Bi 0.0000 0.6042 0.2500  8 Pu 3.23-3.60
Bi 0.3958 0.0000 0.7500  8 Pu 3.23-3.60
Bi 0.3958 0.3958 0.2500  8 Pu 3.23-3.60
Bi 0.6042 0.0000 0.2500  8 Pu 3.23-3.60
Bi 0.6042 0.6042 0.7500  8 Pu 3.23-3.60
C 0.0000 0.0000 0.0000  6 Pu 2.49
C 0.0000 0.0000 0.5000  6 Pu 2.49

***

Entry 6:
Here is Pu7Bi3C2 after structural relaxation from the Alexandria database. Energies are from PBE.

ΔE_f = -217 meV/atom

Unit cell a=13.4545 b=13.4545 c=13.4545 alpha=159.31 beta=159.31 gamma=29.43
Last column: nearest neighbours and their distance in Å.
Fractional coordinates of all 12 atoms:
Pu 0.0000 0.0000 0.0000  2 C 2.52
Pu 0.0917 0.5917 0.5000  2 C 2.42
Pu 0.1905 0.1905 0.0000  1 C 2.44
Pu 0.4083 0.9083 0.5000  2 C 2.42
Pu 0.5917 0.0917 0.5000  2 C 2.42
Pu 0.8095 0.8095 0.0000  1 C 2.44
Pu 0.9083 0.4083 0.5000  2 C 2.42
Bi 0.3185 0.3185 0.0000  9 Pu 3.33-3.43
Bi 0.5000 0.5000 0.0000  12 Pu 3.40-3.42
Bi 0.6815 0.6815 0.0000  9 Pu 3.33-3.43
C 0.0968 0.0968 0.0000  6 Pu 2.42-2.52
C 0.9032 0.9032 0.0000  6 Pu 2.42-2.52

***

Entry 7:
Here is Pu4Bi2C after structural relaxation from the Alexandria database. Energies are from PBE.

ΔE to the lowest computed polymorph = 169 meV/atom
ΔE_f = -131 meV/atom

Unit cell a=6.4612 b=6.3564 c=9.1923 alpha=90.00 beta=94.01 gamma=90.00
Last column: nearest neighbours and their distance in Å.
Fractional coordinates of all 14 atoms:
Pu 0.1400 0.2500 0.3431  1 C 2.23
Pu 0.1571 0.7500 0.0446  1 C 2.25
Pu 0.3583 0.0086 0.7086  1 C 2.30
Pu 0.3583 0.4914 0.7086  1 C 2.30
Pu 0.6417 0.5086 0.2914  1 C 2.30
Pu 0.6417 0.9914 0.2914  1 C 2.30
Pu 0.8429 0.2500 0.9554  1 C 2.25
Pu 0.8600 0.7500 0.6569  1 C 2.23
Bi 0.1945 0.7500 0.4009  8 Pu 3.24-3.48
Bi 0.3377 0.2500 0.0317  9 Pu 3.22-3.41, 1 C 3.53
Bi 0.6623 0.7500 0.9683  9 Pu 3.22-3.41, 1 C 3.53
Bi 0.8055 0.2500 0.5991  8 Pu 3.24-3.48
C 0.1545 0.7500 0.7995  4 Pu 2.23-2.30
C 0.8455 0.2500 0.2005  4 Pu 2.23-2.30

***

Entry 8:
Here is PuBiC after structural relaxation from the Alexandria database. Energies are from PBE.

ΔE_f = 146 meV/atom

Unit cell a=4.0191 b=4.0191 c=7.7209 alpha=90.00 beta=90.00 gamma=90.17
Last column: nearest neighbours and their distance in Å.
Fractional coordinates of all 6 atoms:
Pu 0.2500 0.7500 0.8610  4 C 2.28
Pu 0.7500 0.2500 0.1390  4 C 2.28
Bi 0.2500 0.7500 0.3882  4 Bi 3.32-3.33, 5 Pu 3.43-3.65, 4 C 3.61
Bi 0.7500 0.2500 0.6118  4 Bi 3.32-3.33, 5 Pu 3.43-3.65, 4 C 3.61
C 0.2500 0.2500 0.0000  4 Pu 2.28
C 0.7500 0.7500 0.0000  4 Pu 2.28

***

Entry 9:
Here is Rb2BiRhC after structural relaxation from the Alexandria database. Energies are from PBE.

ΔE_f = 1283 meV/atom

Unit cell a=6.4538 b=6.4538 c=5.0889 alpha=90.00 beta=90.00 gamma=90.00
Last column: nearest neighbours and their distance in Å.
Fractional coordinates of all 5 atoms:
Rb 0.0000 0.5000 0.0000  2 Rh 3.23
Rb 0.5000 0.0000 0.0000  2 Rh 3.23
Bi 0.0000 0.0000 0.5000  2 Rh 2.54
Rh 0.0000 0.0000 0.0000  2 Bi 2.54
C 0.5000 0.5000 0.5000  8 Rb 4.11, 4 Bi 4.56

***

Entry 10:
Here is RbBiRh2C after structural relaxation from the Alexandria database. Energies are from PBE.

ΔE_f = 1587 meV/atom

Unit cell a=5.1953 b=5.1953 c=4.7051 alpha=90.00 beta=90.00 gamma=90.00
Last column: nearest neighbours and their distance in Å.
Fractional coordinates of all 5 atoms:
Rb 0.0000 0.0000 0.0000  8 Rh 3.50, 4 C 3.67
Bi 0.5000 0.5000 0.5000  2 C 2.35, 4 Rh 2.60
Rh 0.0000 0.5000 0.5000  2 Bi 2.60
Rh 0.5000 0.0000 0.5000  2 Bi 2.60
C 0.5000 0.5000 0.0000  2 Bi 2.35

***

Entry 11:
Here is RbBiRu2C after structural relaxation from the Alexandria database. Energies are from PBE.

ΔE_f = 3773 meV/atom

Unit cell a=4.7726 b=4.7726 c=6.2153 alpha=90.00 beta=90.00 gamma=90.00
Last column: nearest neighbours and their distance in Å.
Fractional coordinates of all 5 atoms:
Rb 0.0000 0.0000 0.0000  4 Ru 2.39
Bi 0.0000 0.0000 0.5000  2 Rb 3.11, 4 C 3.37
Ru 0.0000 0.5000 0.0000  2 Rb 2.39
Ru 0.5000 0.0000 0.0000  2 Rb 2.39
C 0.5000 0.5000 0.5000  4 Bi 3.37

***

Entry 12:
Here is RbBiC2Se after structural relaxation from the Alexandria database. Energies are from PBE.

E_form (uncorrected) = 2101 meV per atom

Unit cell a=4.6508 b=4.6508 c=9.1198 alpha=90.00 beta=90.00 gamma=90.00
Last column: nearest neighbours and their distance in Å.
Fractional coordinates of all 5 atoms:
Rb 0.0000 0.0000 0.0000  4 Se 3.29
Bi 0.0000 0.0000 0.5000  4 C 2.33
C 0.0000 0.5000 0.5000  2 Bi 2.33
C 0.5000 0.0000 0.5000  2 Bi 2.33
Se 0.5000 0.5000 0.0000  4 Rb 3.29

***

Entry 13:
Here is RbTaBi2C after structural relaxation from the Alexandria database. Energies are from PBE.

ΔE_f = 706 meV/atom

Unit cell a=5.7339 b=5.7339 c=4.2737 alpha=90.00 beta=90.00 gamma=90.00
Last column: nearest neighbours and their distance in Å.
Fractional coordinates of all 5 atoms:
Rb 0.0000 0.0000 0.0000  8 Bi 3.58
Ta 0.5000 0.5000 0.5000  2 C 2.14
Bi 0.0000 0.5000 0.5000  2 Ta 2.87
Bi 0.5000 0.0000 0.5000  2 Ta 2.87
C 0.5000 0.5000 0.0000  2 Ta 2.14

***

Entry 14:
Here is RbBi2TeC after structural relaxation from the Alexandria database. Energies are from PBE.

E_form (uncorrected) = 678 meV per atom

Unit cell a=4.9821 b=4.9821 c=5.9919 alpha=90.00 beta=90.00 gamma=90.00
Last column: nearest neighbours and their distance in Å.
Fractional coordinates of all 5 atoms:
Rb 0.0000 0.0000 0.0000  2 C 3.00
Bi 0.0000 0.5000 0.5000  2 C 2.49
Bi 0.5000 0.0000 0.5000  2 C 2.49
Te 0.5000 0.5000 0.0000  4 Rb 3.52, 8 Bi 3.90
C 0.0000 0.0000 0.5000  4 Bi 2.49

***

Entry 15:
Here is RbTl2BiC after structural relaxation from the Alexandria database. Energies are from PBE.

ΔE_f = 1363 meV/atom

Unit cell a=6.1027 b=6.1027 c=7.4405 alpha=90.00 beta=90.00 gamma=90.00
Last column: nearest neighbours and their distance in Å.
Fractional coordinates of all 5 atoms:
Rb 0.0000 0.0000 0.0000  2 Bi 3.72
Tl 0.0000 0.5000 0.5000  2 Bi 3.05
Tl 0.5000 0.0000 0.5000  2 Bi 3.05
Bi 0.0000 0.0000 0.5000  4 Tl 3.05
C 0.5000 0.5000 0.0000  4 Rb 4.32, 8 Tl 4.81

***

Entry 16:
Here is RbBiW2C after structural relaxation from the Alexandria database. Energies are from PBE.

ΔE_f = 3126 meV/atom

Unit cell a=5.4243 b=5.4243 c=5.0231 alpha=90.00 beta=90.00 gamma=90.00
Last column: nearest neighbours and their distance in Å.
Fractional coordinates of all 5 atoms:
Rb 0.0000 0.0000 0.0000  8 W 3.70, 4 C 3.84
Bi 0.5000 0.5000 0.5000  2 C 2.51, 4 W 2.71
W 0.0000 0.5000 0.5000  2 Bi 2.71
W 0.5000 0.0000 0.5000  2 Bi 2.71
C 0.5000 0.5000 0.0000  2 Bi 2.51

***

Entry 17:
Here is Rb2BiWC after structural relaxation from the Alexandria database. Energies are from PBE.

ΔE_f = 1936 meV/atom

Unit cell a=6.4477 b=6.4477 c=4.4698 alpha=90.00 beta=90.00 gamma=90.00
Last column: nearest neighbours and their distance in Å.
Fractional coordinates of all 5 atoms:
Rb 0.0000 0.5000 0.0000  2 C 3.22
Rb 0.5000 0.0000 0.0000  2 C 3.22
Bi 0.0000 0.0000 0.5000  2 C 2.23
W 0.5000 0.5000 0.5000  8 Rb 3.92
C 0.0000 0.0000 0.0000  2 Bi 2.23